# PBE BC, relaxed
data_BC
_chemical_formula_sum 'B6 C6'
_cell_length_a 4.507
_cell_length_b 4.507
_cell_length_c 8.414
_cell_angle_alpha 119.11
_cell_angle_beta 119.11
_cell_angle_gamma 32.32
_space_group_name_H-M_alt 'P 1'
_space_group_IT_number 1
loop_
_space_group_symop_operation_xyz
'x,y,z'
loop_
_atom_site_label
_atom_site_fract_x
_atom_site_fract_y
_atom_site_fract_z
B1 0.000 0.000 0.000
B2 0.187 0.187 0.841
B3 0.525 0.525 0.497
B4 0.612 0.612 0.325
B5 0.766 0.766 0.549
B6 0.850 0.850 0.371
C1 0.003 0.003 0.192
C2 0.212 0.212 0.048
C3 0.379 0.379 0.685
C4 0.385 0.385 0.863
C5 0.562 0.562 0.706
C6 0.807 0.807 0.153
# Crystal system = monoclinic


# PBE B7C5, relaxed
data_B7C5
_chemical_formula_sum 'B7 C5'
_cell_length_a 2.708
_cell_length_b 2.708
_cell_length_c 14.879
_cell_angle_alpha 90.00
_cell_angle_beta 90.00
_cell_angle_gamma 120.00
_space_group_name_H-M_alt 'P 1'
_space_group_IT_number 1
loop_
_space_group_symop_operation_xyz
'x,y,z'
loop_
_atom_site_label
_atom_site_fract_x
_atom_site_fract_y
_atom_site_fract_z
B1 0.000 0.000 0.000
B2 0.000 0.000 0.120
B3 0.000 0.000 0.430
B4 0.333 0.667 0.250
B5 0.333 0.667 0.550
B6 0.333 0.667 0.825
B7 0.667 0.333 0.939
C1 0.000 0.000 0.540
C2 0.333 0.667 0.128
C3 0.667 0.333 0.287
C4 0.667 0.333 0.383
C5 0.667 0.333 0.833
# Crystal system = trigonal


# PBE B7C5, relaxed
data_B7C5
_chemical_formula_sum 'B7 C5'
_cell_length_a 2.532
_cell_length_b 2.532
_cell_length_c 14.691
_cell_angle_alpha 90.00
_cell_angle_beta 90.00
_cell_angle_gamma 120.00
_space_group_name_H-M_alt 'P 1'
_space_group_IT_number 1
loop_
_space_group_symop_operation_xyz
'x,y,z'
loop_
_atom_site_label
_atom_site_fract_x
_atom_site_fract_y
_atom_site_fract_z
B1 0.000 0.000 0.000
B2 0.000 0.000 0.115
B3 0.000 0.000 0.511
B4 0.333 0.667 0.188
B5 0.667 0.333 0.439
B6 0.667 0.333 0.807
B7 0.667 0.333 0.923
C1 0.000 0.000 0.619
C2 0.333 0.667 0.295
C3 0.333 0.667 0.656
C4 0.333 0.667 0.758
C5 0.667 0.333 0.332
# Crystal system = trigonal


| no. | energy of formation from the pure elements (meV/atom) | magnetization (Bohr magnetons per cell) |
| --- | --- | --- |
| 1 | 353.7 | 0.0 |
| 2 | 325.9 | 0.0 |
| 3 | 472.3 | 0.0 |